The following is a GGA-PBE calculation of crystalline KRb at its relaxed geometry, from Alexandria via LeMat-Bulk.

Unit cell a=6.267 b=6.267 c=6.267 alpha=60.00 beta=60.00 gamma=60.00
Positions (direct):
K 0.500 0.500 0.500
Rb 0.000 0.000 0.000

Output
Total magnetic moment = 0.00 Bohr magnetons per cell
ΔE_f = 0.106 eV/atom
Relative energy among the computed polymorphs = 0.105 eV/atom
Crystal system = cubic
DFT total energy = -0.9266 eV/atom